{"formula": "ErScTlTc", "functional": "PBE-GGA", "state": "relaxed", "energy_ha_per_atom": -0.221, "m_tot_mub_per_fu": 0.00, "formation_enthalpy_0k_ev_per_atom": -0.11, "cell": [[-1.8144, 3.7954, -2.5763], [-4.1492, -0.5499, -2.6108], [-4.1525, 2.2195, 1.4715]], "species": ["Sc", "Tl", "Tc", "Er"], "fractional_positions": [[0.2500, 0.2500, 0.2500], [0.5000, 0.5000, 0.5000], [0.0000, 0.0000, 0.0000], [0.7500, 0.7500, 0.7500]]}

=====

{"formula": "ErScZnTc", "functional": "PBE-GGA", "state": "relaxed", "energy_ha_per_atom": -0.215, "m_tot_mub_per_fu": 0.00, "formation_enthalpy_0k_ev_per_atom": -0.22, "cell": [[-1.8407, 4.3471, -0.6546], [-4.2450, 0.4975, -2.1088], [-3.7776, 1.3967, 2.5482]], "species": ["Sc", "Zn", "Tc", "Er"], "fractional_positions": [[0.2500, 0.2500, 0.2500], [0.0000, 0.0000, 0.0000], [0.5000, 0.5000, 0.5000], [0.7500, 0.7500, 0.7500]]}

=====

{"formula": "ErZrScTc", "functional": "PBE-GGA", "state": "relaxed", "energy_ha_per_atom": -0.273, "m_tot_mub_per_fu": 0.00, "formation_enthalpy_0k_ev_per_atom": 0.02, "cell": [[-0.9779, -4.6590, 1.2942], [2.8748, -3.6661, -1.6227], [2.9839, -2.3673, 3.1353]], "species": ["Sc", "Tc", "Zr", "Er"], "fractional_positions": [[0.0000, 0.0000, 0.0000], [0.5000, 0.5000, 0.5000], [0.7500, 0.7500, 0.7500], [0.2500, 0.2500, 0.2500]]}